Record 1
A plane-wave DFT calculation with GGA-PBE was carried out for a relaxed Cs5Na crystal.

Unit cell a=11.1549 b=11.1549 c=12.6633 alpha=116.13 beta=116.13 gamma=90.00
Last column: nearest neighbours and their distance in Å.
Fractional coordinates of all 12 atoms:
Cs  0.9819  0.4819  0.2884  2 Na 4.68, 4 Cs 5.02-5.12
Cs  0.4819  0.3065  0.2884  2 Na 4.68, 4 Cs 5.02-5.12
Cs  0.8065  0.9819  0.2884  2 Na 4.68, 4 Cs 5.02-5.12
Cs  0.0000  0.0000  0.0000  2 Na 4.95, 8 Cs 5.06
Na  0.2500  0.2500  0.5000  10 Cs 4.68-4.95
Cs  0.6935  0.1935  0.7116  2 Na 4.68, 4 Cs 5.02-5.12
Cs  0.5181  0.6935  0.7116  2 Na 4.68, 4 Cs 5.02-5.12
Cs  0.0181  0.5181  0.7116  2 Na 4.68, 4 Cs 5.02-5.12
Na  0.7500  0.7500  0.5000  10 Cs 4.68-4.95
Cs  0.1935  0.0181  0.7116  2 Na 4.68, 4 Cs 5.02-5.12
Cs  0.3065  0.8065  0.2884  2 Na 4.68, 4 Cs 5.02-5.12
Cs  0.5000  0.5000  0.0000  2 Na 4.95, 8 Cs 5.06

Output
calculated density = 1.85 g cm⁻³
V = 1232.72 Å³/cell
M_tot = 0.000 μB/atom
ΔH_f (0 K) = 0.03 eV/atom
space group = I4/mcm (140)

---

Record 2
A plane-wave DFT calculation with GGA-PBE was carried out for a relaxed Ta2RhCl crystal.

Unit cell a=2.9252 b=2.9252 c=9.0142 alpha=90.00 beta=90.00 gamma=108.05
Last column: nearest neighbours and their distance in Å.
Fractional coordinates of all 4 atoms:
Rh  0.5000  0.5000  0.7856  2 Ta 2.56
Ta  0.0000  0.0000  0.9966  2 Rh 2.56
Cl  0.0000  0.0000  0.4639  2 Ta 2.56
Ta  0.5000  0.5000  0.2539  2 Cl 2.56

Output
ΔE_f (raw) = -0.120 eV/atom
calculated density = 11.33 g cm⁻³
V = 73.34 Å³/cell
M_tot = 0.000 μB/atom
space group = Cmm2 (35)

---

Record 3
A plane-wave DFT calculation with GGA-PBE was carried out for a relaxed Th2Ge3Pt12Rh crystal.

Unit cell a=7.8206 b=7.8206 c=7.8206 alpha=64.07 beta=64.07 gamma=64.07
Last column: nearest neighbours and their distance in Å.
Fractional coordinates of all 18 atoms:
Ge  0.0000  0.0000  0.5000  6 Pt 2.43-2.47
Ge  0.0000  0.5000  0.0000  6 Pt 2.43-2.47
Pt  0.8872  0.3672  0.3672  2 Ge 2.47
Th  0.6180  0.6180  0.6180  6 Pt 2.80-2.88
Pt  0.8643  0.8643  0.3790  1 Ge 2.43, 1 Rh 2.55
Pt  0.6328  0.1128  0.6328  2 Ge 2.47
Pt  0.1357  0.1357  0.6210  1 Ge 2.43, 1 Rh 2.55
Ge  0.5000  0.0000  0.0000  6 Pt 2.43-2.47
Th  0.3820  0.3820  0.3820  6 Pt 2.80-2.88
Pt  0.8643  0.3790  0.8643  1 Ge 2.43, 1 Rh 2.55
Pt  0.3790  0.8643  0.8643  1 Ge 2.43, 1 Rh 2.55
Pt  0.6328  0.6328  0.1128  2 Ge 2.47
Pt  0.6210  0.1357  0.1357  1 Ge 2.43, 1 Rh 2.55
Rh  0.0000  0.0000  0.0000  6 Pt 2.55
Pt  0.1128  0.6328  0.6328  2 Ge 2.47
Pt  0.1357  0.6210  0.1357  1 Ge 2.43, 1 Rh 2.55
Pt  0.3672  0.8872  0.3672  2 Ge 2.47
Pt  0.3672  0.3672  0.8872  2 Ge 2.47

Output
calculated density = 14.08 g cm⁻³
V = 368.55 Å³/cell
M_tot = 0.000 μB/atom
ΔH_f (0 K) = -0.33 eV/atom
space group = R-3m (166)

---

Record 4
A plane-wave DFT calculation with GGA-PBE was carried out for a relaxed Ta2BeCd crystal.

Unit cell a=5.1777 b=5.1777 c=5.1777 alpha=135.43 beta=135.43 gamma=64.87
Last column: nearest neighbours and their distance in Å.
Fractional coordinates of all 4 atoms:
Cd  0.7500  0.2500  0.5000  8 Ta 2.78-2.94, 4 Be 2.94
Be  0.5000  0.5000  0.0000  8 Ta 2.78-2.94, 4 Cd 2.94
Ta  0.2500  0.7500  0.5000  4 Cd 2.78, 4 Ta 2.94, 4 Be 2.94
Ta  0.0000  0.0000  0.0000  4 Be 2.78, 4 Cd 2.94, 4 Ta 2.94

Output
calculated density = 11.91 g cm⁻³
V = 67.40 Å³/cell
M_tot = 0.000 μB/atom
ΔH_f (0 K) = 0.44 eV/atom
space group = I-4m2 (119)

---

Record 5
A plane-wave DFT calculation with GGA-PBE was carried out for a relaxed CaTeRh crystal.

Unit cell a=6.5716 b=6.2732 c=7.6762 alpha=66.76 beta=90.00 gamma=90.00
Last column: nearest neighbours and their distance in Å.
Fractional coordinates of all 12 atoms:
Te  0.3037  0.8015  0.9732  3 Rh 2.58-2.66
Ca  0.8319  0.6566  0.1134  3 Rh 2.98-3.16, 4 Te 3.29-3.32
Te  0.8037  0.6985  0.5268  3 Rh 2.58-2.66
Rh  0.9352  0.1222  0.3112  3 Te 2.58-2.66, 1 Rh 2.82
Ca  0.1681  0.3434  0.8866  3 Rh 2.98-3.16, 4 Te 3.29-3.32
Te  0.1963  0.3015  0.4732  3 Rh 2.58-2.66
Ca  0.6681  0.1566  0.6134  3 Rh 2.98-3.16, 4 Te 3.29-3.32
Rh  0.4352  0.3778  0.1888  3 Te 2.58-2.66, 1 Rh 2.82
Rh  0.0648  0.8778  0.6888  3 Te 2.58-2.66, 1 Rh 2.82
Te  0.6963  0.1985  0.0268  3 Rh 2.58-2.66
Ca  0.3319  0.8434  0.3866  3 Rh 2.98-3.16, 4 Te 3.29-3.32
Rh  0.5648  0.6222  0.8112  3 Te 2.58-2.66, 1 Rh 2.82

Output
ΔE_f (raw) = -0.816 eV/atom
calculated density = 6.18 g cm⁻³
V = 290.76 Å³/cell
M_tot = 0.000 μB/atom
space group = P2_1/c (14)

---

Record 6
A plane-wave DFT calculation with GGA-PBE was carried out for a relaxed Mg2AuSe crystal.

Unit cell a=3.9617 b=3.9617 c=6.6964 alpha=73.04 beta=73.04 gamma=59.56
Last column: nearest neighbours and their distance in Å.
Fractional coordinates of all 4 atoms:
Au  0.7500  0.7500  0.7500  6 Mg 2.76-2.77
Mg  0.5001  0.5001  0.5015  3 Au 2.76-2.77, 3 Se 2.78
Mg  0.9999  0.9999  0.9985  3 Au 2.76-2.77, 3 Se 2.78
Se  0.2500  0.2500  0.2500  6 Mg 2.78

Output
ΔE_f (raw) = -0.726 eV/atom
calculated density = 6.31 g cm⁻³
V = 85.34 Å³/cell
M_tot = 0.000 μB/atom
space group = C2/m (12)

---

Record 7
A plane-wave DFT calculation with GGA-PBE was carried out for a relaxed LaZrCu crystal.

Unit cell a=5.5840 b=7.2858 c=5.6541 alpha=52.47 beta=125.12 gamma=127.38
Last column: nearest neighbours and their distance in Å.
Fractional coordinates of all 6 atoms:
Cu  0.8016  0.6312  0.4622  2 Cu 2.59
Zr  0.8812  0.1330  0.8823  2 Zr 3.01-3.05, 4 Cu 3.04-3.07
Zr  0.2235  0.1329  0.5404  2 Zr 3.01-3.05, 4 Cu 3.04-3.07
La  0.6992  0.4270  0.0641  4 Cu 3.00-3.03, 1 La 3.12
Cu  0.3034  0.6347  0.9608  2 Cu 2.59
La  0.4056  0.8389  0.3586  4 Cu 3.00-3.03, 1 La 3.12

Output
calculated density = 7.12 g cm⁻³
V = 137.04 Å³/cell
M_tot = 0.000 μB/atom
ΔH_f (0 K) = 0.00 eV/atom
space group = C2/m (12)

---

Record 8
A plane-wave DFT calculation with GGA-PBE was carried out for a relaxed YOsI2O crystal.

Unit cell a=6.1792 b=6.1792 c=4.1337 alpha=90.00 beta=90.00 gamma=90.00
Last column: nearest neighbours and their distance in Å.
Fractional coordinates of all 5 atoms:
Y  0.0000  0.0000  0.0000  2 O 2.07
I  0.5000  0.0000  0.0000  2 Y 3.09
I  0.0000  0.5000  0.0000  2 Y 3.09
O  0.0000  0.0000  0.5000  2 Y 2.07
Os  0.5000  0.5000  0.5000  8 I 3.72, 2 Os 4.13

Output
ΔE_f (raw) = 0.097 eV/atom
calculated density = 5.78 g cm⁻³
V = 157.84 Å³/cell
M_tot = 0.877 μB/atom
space group = P4/mmm (123)

---

Record 9
A plane-wave DFT calculation with GGA-PBE was carried out for a relaxed SmHoRu crystal.

Unit cell a=4.8130 b=4.8130 c=4.8130 alpha=60.00 beta=60.00 gamma=60.00
Last column: nearest neighbours and their distance in Å.
Fractional coordinates of all 3 atoms:
Ho  0.0000  0.0000  0.0000  4 Ru 2.95
Sm  0.5000  0.5000  0.5000  4 Ru 2.95
Ru  0.2500  0.2500  0.2500  4 Ho 2.95, 4 Sm 2.95

Output
calculated density = 8.77 g cm⁻³
V = 78.84 Å³/cell
M_tot = 0.000 μB/atom
ΔH_f (0 K) = -0.24 eV/atom
space group = F-43m (216)

---

Record 10
A plane-wave DFT calculation with GGA-PBE was carried out for a relaxed NdSm2Er5Tm crystal.

Unit cell a=8.7339 b=8.7339 c=9.7756 alpha=116.53 beta=116.53 gamma=90.00
Last column: nearest neighbours and their distance in Å.
Fractional coordinates of all 18 atoms:
Er  0.6547  0.1547  0.7272  1 Sm 3.00, 1 Tm 3.10
Er  0.0000  0.0000  0.0000  4 Sm 3.51, 8 Er 3.75, 2 Nd 3.79
Er  0.1547  0.0725  0.7272  1 Sm 3.00, 1 Tm 3.10
Er  0.5725  0.6547  0.7272  1 Sm 3.00, 1 Tm 3.10
Sm  0.6155  0.1155  0.0000  1 Sm 2.85, 2 Er 3.00
Er  0.0725  0.5725  0.7272  1 Sm 3.00, 1 Tm 3.10
Sm  0.8845  0.6155  0.0000  1 Sm 2.85, 2 Er 3.00
Er  0.5000  0.5000  0.0000  4 Sm 3.51, 8 Er 3.75, 2 Nd 3.79
Tm  0.2500  0.7500  0.5000  4 Er 3.10
Nd  0.7500  0.7500  0.5000  10 Er 3.57-3.79
Sm  0.1155  0.3845  0.0000  1 Sm 2.85, 2 Er 3.00
Er  0.8453  0.9275  0.2728  1 Sm 3.00, 1 Tm 3.10
Nd  0.2500  0.2500  0.5000  10 Er 3.57-3.79
Er  0.4275  0.3453  0.2728  1 Sm 3.00, 1 Tm 3.10
Er  0.3453  0.8453  0.2728  1 Sm 3.00, 1 Tm 3.10
Sm  0.3845  0.8845  0.0000  1 Sm 2.85, 2 Er 3.00
Tm  0.7500  0.2500  0.5000  4 Er 3.10
Er  0.9275  0.4275  0.2728  1 Sm 3.00, 1 Tm 3.10

Output
calculated density = 8.33 g cm⁻³
V = 578.04 Å³/cell
M_tot = 0.000 μB/atom
ΔH_f (0 K) = 0.28 eV/atom
space group = I4/mcm (140)

---

Record 11
A plane-wave DFT calculation with GGA-PBE was carried out for a relaxed K2RhCl crystal.

Unit cell a=3.4328 b=3.4321 c=9.5701 alpha=68.95 beta=90.00 gamma=90.00
Last column: nearest neighbours and their distance in Å.
Fractional coordinates of all 4 atoms:
Cl  0.5000  0.7500  0.7500  8 K 3.13, 4 Cl 3.43
K  0.0000  0.4725  0.5284  4 Cl 3.13, 4 K 3.43, 4 Rh 3.47-3.48
Rh  0.5000  0.2500  0.2500  4 Rh 3.43, 8 K 3.47-3.48
K  0.0000  0.0275  0.9716  4 Cl 3.13, 4 K 3.43, 4 Rh 3.47-3.48

Output
ΔE_f (raw) = -0.327 eV/atom
calculated density = 3.42 g cm⁻³
V = 105.22 Å³/cell
M_tot = 0.253 μB/atom
space group = P4/mmm (123)

---

Record 12
A plane-wave DFT calculation with GGA-PBE was carried out for a relaxed Ac2Al3Cu2 crystal.

Unit cell a=4.5823 b=5.8958 c=6.8776 alpha=109.92 beta=90.00 gamma=112.87
Last column: nearest neighbours and their distance in Å.
Fractional coordinates of all 7 atoms:
Ac  0.8470  0.6939  0.2207  5 Cu 3.17-3.47, 8 Al 3.27-3.50
Al  0.5000  0.0000  0.0000  2 Al 2.67
Cu  0.1504  0.3008  0.2816  3 Al 2.61-2.73
Ac  0.1530  0.3061  0.7793  5 Cu 3.17-3.47, 8 Al 3.27-3.50
Al  0.6011  0.2022  0.4181  3 Cu 2.61-2.73, 2 Al 2.67-2.82
Al  0.3989  0.7978  0.5819  3 Cu 2.61-2.73, 2 Al 2.67-2.82
Cu  0.8496  0.6992  0.7184  3 Al 2.61-2.73

Output
calculated density = 6.91 g cm⁻³
V = 159.07 Å³/cell
M_tot = 0.000 μB/atom
ΔH_f (0 K) = -0.26 eV/atom
space group = C2/m (12)